# GGA-PBE CsHg2AuI, relaxed
# Theoretical density: 6.60 g/cm³
# Formation energy (no corrections): -461 meV/atom
# Space group: P4/mmm, No. 123
# Energy: -1.72 eV per atom
# E above lowest polymorph: 0.0303 eV/atom
data_CsHg2AuI
_symmetry_space_group_name_H-M 'P 1'
_symmetry_Int_Tables_number 1
_symmetry_space_group_name_Hall 'P 1'
_cell_length_a 5.442
_cell_length_b 5.442
_cell_length_c 7.291
_cell_angle_alpha 90.00
_cell_angle_beta 90.00
_cell_angle_gamma 90.00
loop_
_atom_site_label
_atom_site_fract_x
_atom_site_fract_y
_atom_site_fract_z
Cs1 0.500 0.500 0.500
I1 0.000 0.000 0.500
Au1 0.000 0.000 0.000
Hg1 0.000 0.500 0.000
Hg2 0.500 0.000 0.000